No. 1
Entry from Alexandria via LeMat-Bulk: a geometry-optimized Tm2In3Ga3 structure (GGA-PBE).

Geometry as CIF:
```
data_Tm2In3Ga3
_chemical_formula_sum 'Tm2 In3 Ga3'
_cell_length_a 4.337
_cell_length_b 4.434
_cell_length_c 9.103
_cell_angle_alpha 90.00
_cell_angle_beta 90.00
_cell_angle_gamma 90.00
_space_group_name_H-M_alt 'P 1'
_space_group_IT_number 1
_space_group_name_Hall 'P 1'
loop_
_atom_site_label
_atom_site_fract_x
_atom_site_fract_y
_atom_site_fract_z
Tm1 0.000 0.000 0.242
Tm2 0.000 0.000 0.758
In1 0.000 0.500 0.000
In2 0.000 0.500 0.500
In3 0.500 0.000 0.500
Ga1 0.500 0.000 0.000
Ga2 0.500 0.500 0.242
Ga3 0.500 0.500 0.758
```

Calculated values
Energy of formation from the pure elements   -0.416 eV/atom
V   175.08 Å³ per cell
E   -3.696 eV/atom

=====

No. 2
Entry from Alexandria via LeMat-Bulk: a geometry-optimized AcNdYEr structure (GGA-PBE).

Geometry as CIF:
```
data_AcNdYEr
_chemical_formula_sum 'Ac1 Nd1 Y1 Er1'
_cell_length_a 5.871
_cell_length_b 5.871
_cell_length_c 5.871
_cell_angle_alpha 60.00
_cell_angle_beta 60.00
_cell_angle_gamma 60.00
_space_group_name_H-M_alt 'P 1'
_space_group_IT_number 1
_space_group_name_Hall 'P 1'
loop_
_atom_site_label
_atom_site_fract_x
_atom_site_fract_y
_atom_site_fract_z
Ac1 0.000 0.000 0.000
Nd1 0.500 0.500 0.500
Y1 0.250 0.250 0.250
Er1 0.750 0.750 0.750
```

Calculated values
Energy of formation from the pure elements   0.102 eV/atom
V   143.11 Å³ per cell
E   -4.874 eV/atom
Energy above the lowest structure with this stoichiometry   42 meV per atom

=====

No. 3
Entry from Alexandria via LeMat-Bulk: a geometry-optimized LaInGa2 structure (GGA-PBE).

Geometry as CIF:
```
data_LaInGa2
_chemical_formula_sum 'La2 In2 Ga4'
_cell_length_a 10.248
_cell_length_b 10.248
_cell_length_c 10.248
_cell_angle_alpha 153.10
_cell_angle_beta 153.10
_cell_angle_gamma 38.41
_space_group_name_H-M_alt 'P 1'
_space_group_IT_number 1
_space_group_name_Hall 'P 1'
loop_
_atom_site_label
_atom_site_fract_x
_atom_site_fract_y
_atom_site_fract_z
La1 0.000 0.000 0.000
La2 0.750 0.250 0.500
In1 0.250 0.750 0.500
In2 0.500 0.500 0.000
Ga1 0.241 0.625 0.116
Ga2 0.375 0.491 0.616
Ga3 0.509 0.125 0.884
Ga4 0.875 0.759 0.384
```

Calculated values
Energy of formation from the pure elements   -0.200 eV/atom
V   219.93 Å³ per cell
E   -3.630 eV/atom

=====

The lowest V belongs to which entry?
AcNdYEr

=====

Which of these has the highest energy of formation from the pure elements?
AcNdYEr

=====

The lowest E belongs to which entry?
AcNdYEr

=====

Which formula does entry 3 have?
LaInGa2